(1)
A plane-wave DFT calculation with GGA-PBEsol was carried out for crystalline YTc2Pb at its relaxed geometry.

Calculated values
D(E_F): 5.251 states/eV/cell
Formation enthalpy at 0 K: 0.34 eV/atom

a = 4.5633 Å, b = 4.5633 Å, c = 3.5271 Å
α = 90.00°, β = 90.00°, γ = 90.00°
Element x y z (fractional)
Y (0.0000, 0.0000, 0.0000)
Tc (0.0000, 0.5000, 0.5000)
Tc (0.5000, 0.0000, 0.5000)
Pb (0.5000, 0.5000, 0.0000)



(2)
A plane-wave DFT calculation with GGA-PBEsol was carried out for crystalline KCaRe at its relaxed geometry.

Calculated values
D(E_F): 3.170 states/eV/cell
Formation enthalpy at 0 K: 1.26 eV/atom

a = 5.3772 Å, b = 5.3772 Å, c = 2.6735 Å
α = 90.00°, β = 90.00°, γ = 120.00°
Element x y z (fractional)
K (0.0000, 0.0000, 0.0000)
Ca (0.6667, 0.3333, 0.0000)
Re (0.3333, 0.6667, 0.5000)



(3)
A plane-wave DFT calculation with GGA-PBEsol was carried out for crystalline LiCu2O2 at its relaxed geometry.

Calculated values
D(E_F): 5.000 states/eV/cell
Formation energy without anion corrections: -949 meV per atom

a = 5.6633 Å, b = 5.6633 Å, c = 12.3428 Å
α = 90.00°, β = 90.00°, γ = 90.00°
Element x y z (fractional)
Li (0.0063, 0.2500, 0.1776)
Li (0.2500, 0.0063, 0.6776)
Li (0.2500, 0.4937, 0.6776)
Li (0.4937, 0.2500, 0.1776)
Li (0.5063, 0.7500, 0.8224)
Li (0.7500, 0.5063, 0.3224)
Li (0.7500, 0.9937, 0.3224)
Li (0.9937, 0.7500, 0.8224)
Cu (0.0021, 0.7500, 0.1507)
Cu (0.0020, 0.7500, 0.5069)
Cu (0.2500, 0.5021, 0.3493)
Cu (0.2500, 0.5020, 0.9931)
Cu (0.2500, 0.9979, 0.3493)
Cu (0.2500, 0.9980, 0.9931)
Cu (0.4979, 0.7500, 0.1507)
Cu (0.4980, 0.7500, 0.5069)
Cu (0.5020, 0.2500, 0.4931)
Cu (0.5021, 0.2500, 0.8493)
Cu (0.7500, 0.0020, 0.0069)
Cu (0.7500, 0.0021, 0.6507)
Cu (0.7500, 0.4980, 0.0069)
Cu (0.7500, 0.4979, 0.6507)
Cu (0.9980, 0.2500, 0.4931)
Cu (0.9979, 0.2500, 0.8493)
O (0.0090, 0.2500, 0.3428)
O (0.0086, 0.7500, 0.3578)
O (0.2500, 0.0090, 0.8428)
O (0.2500, 0.4910, 0.8428)
O (0.2500, 0.5086, 0.1422)
O (0.2500, 0.9914, 0.1422)
O (0.4910, 0.2500, 0.3428)
O (0.4914, 0.7500, 0.3578)
O (0.5086, 0.2500, 0.6422)
O (0.5090, 0.7500, 0.6572)
O (0.7500, 0.0086, 0.8578)
O (0.7500, 0.4914, 0.8578)
O (0.7500, 0.5090, 0.1572)
O (0.7500, 0.9910, 0.1572)
O (0.9914, 0.2500, 0.6422)
O (0.9910, 0.7500, 0.6572)



(4)
A plane-wave DFT calculation with GGA-PBEsol was carried out for crystalline SrSi3Au at its relaxed geometry.

Calculated values
D(E_F): 3.301 states/eV/cell
Formation energy without anion corrections: 407 meV per atom

a = 4.9425 Å, b = 4.9425 Å, c = 4.9425 Å
α = 90.00°, β = 90.00°, γ = 90.00°
Element x y z (fractional)
Sr (0.0000, 0.0000, 0.0000)
Si (0.0000, 0.5000, 0.5000)
Si (0.5000, 0.0000, 0.5000)
Si (0.5000, 0.5000, 0.0000)
Au (0.5000, 0.5000, 0.5000)



(5)
A plane-wave DFT calculation with GGA-PBEsol was carried out for crystalline VCrCu2O4 at its relaxed geometry.

Calculated values
D(E_F): 10.100 states/eV/cell
Formation energy without anion corrections: -1461 meV per atom

a = 11.5097 Å, b = 2.9143 Å, c = 5.2039 Å
α = 90.00°, β = 98.39°, γ = 90.00°
Element x y z (fractional)
V (0.0000, 0.0000, 0.0000)
V (0.5000, 0.5000, 0.0000)
Cr (0.0000, 0.5000, 0.5000)
Cr (0.5000, 0.0000, 0.5000)
Cu (0.2492, 0.0000, 0.7368)
Cu (0.2508, 0.5000, 0.2632)
Cu (0.7492, 0.5000, 0.7368)
Cu (0.7508, 0.0000, 0.2632)
O (0.0883, 0.0000, 0.6954)
O (0.0898, 0.5000, 0.2023)
O (0.4102, 0.0000, 0.7977)
O (0.4117, 0.5000, 0.3046)
O (0.5883, 0.5000, 0.6954)
O (0.5898, 0.0000, 0.2023)
O (0.9102, 0.5000, 0.7977)
O (0.9117, 0.0000, 0.3046)



(6)
A plane-wave DFT calculation with GGA-PBEsol was carried out for crystalline CeCoGe at its relaxed geometry.

Calculated values
D(E_F): 8.938 states/eV/cell
Formation enthalpy at 0 K: -0.58 eV/atom

a = 4.0894 Å, b = 4.0894 Å, c = 6.5437 Å
α = 90.00°, β = 90.00°, γ = 90.00°
Element x y z (fractional)
Ce (0.2500, 0.2500, 0.1883)
Ce (0.7500, 0.7500, 0.8117)
Co (0.2500, 0.7500, 0.5000)
Co (0.7500, 0.2500, 0.5000)
Ge (0.2500, 0.2500, 0.6956)
Ge (0.7500, 0.7500, 0.3044)



(7)
A plane-wave DFT calculation with GGA-PBEsol was carried out for crystalline Mn2Ag2F at its relaxed geometry.

Calculated values
D(E_F): 4.982 states/eV/cell
Formation energy without anion corrections: 375 meV per atom

a = 3.6359 Å, b = 3.6359 Å, c = 13.6787 Å
α = 90.00°, β = 90.00°, γ = 90.00°
Element x y z (fractional)
Mn (0.0000, 0.0000, 0.0963)
Mn (0.0000, 0.0000, 0.9037)
Mn (0.5000, 0.5000, 0.4037)
Mn (0.5000, 0.5000, 0.5963)
Ag (0.0000, 0.5000, 0.2500)
Ag (0.0000, 0.5000, 0.7500)
Ag (0.5000, 0.0000, 0.2500)
Ag (0.5000, 0.0000, 0.7500)
F (0.0000, 0.0000, 0.5000)
F (0.5000, 0.5000, 0.0000)



(8)
A plane-wave DFT calculation with GGA-PBEsol was carried out for crystalline SiNiOs3 at its relaxed geometry.

Calculated values
D(E_F): 5.529 states/eV/cell
Formation energy without anion corrections: 1545 meV per atom

a = 4.2973 Å, b = 4.2973 Å, c = 4.2973 Å
α = 90.00°, β = 90.00°, γ = 90.00°
Element x y z (fractional)
Si (0.0000, 0.0000, 0.0000)
Ni (0.5000, 0.5000, 0.5000)
Os (0.0000, 0.0000, 0.5000)
Os (0.0000, 0.5000, 0.0000)
Os (0.5000, 0.0000, 0.0000)



Volume for the records above, in order: 18.36, 22.32, 9.90, 24.15, 10.79, 18.24, 18.08, 15.87 Å³/atom